A plane-wave DFT calculation with PBE was carried out for an optimized crystal structure of SrZn2Os.

Values from the calculation:
The calculation puts the electronic total energy at -52.15 eV/cell. For the formation energy, the calculation gives 0.606 eV per atom. The calculated volume comes out at 19.381 Å³ per atom.

abc: 6.7686 6.7686 6.7686
angles: 90.00 90.00 90.00
Closest atoms and distances in Å follow each position.
Space group F-43m (No. 216)
Unique sites:
Sr 0.0000 0.0000 0.0000 x4  4 Os 2.93, 4 Zn 2.93
Zn 0.0000 0.0000 0.5000 x4  4 Zn 2.93, 4 Os 2.93
Zn 0.2500 0.2500 0.7500 x4  4 Sr 2.93, 4 Zn 2.93
Os 0.2500 0.2500 0.2500 x4  4 Sr 2.93, 4 Zn 2.93